La4NdAs5 | PBE | relaxed

a b c (Å): 9.7402 9.7402 6.1590
angles (deg): 90.00 90.00 90.00
With the nearest neighbours (Å) after each atom.
Space group I4/m (No. 87)
Inequivalent atoms, fractional coordinates:
La 0.0995 0.7004 0.0000  6 As 3.07-3.10
Nd 0.0000 0.0000 0.5000  6 As 3.06-3.08
As 0.0000 0.0000 0.0000  4 La 3.07, 2 Nd 3.08
As 0.0993 0.7022 0.5000  1 Nd 3.06, 5 La 3.08-3.10

Values from the calculation:
The calculation puts the magnetization at 0.000 Bohr magnetons per cell. Its energy relative to the elements is -1562.2 meV/atom. As for the calculated density: 6.107 g cm⁻³.